The following is a GGA-PBE calculation of a relaxed LaSi2W crystal, from the Alexandria database.

Cell and atoms, written as POSCAR:
```
LaSi2W
1.0
-4.5912 -0.8581 0.2289
1.4772 -2.5739 -3.6140
0.6258 -2.7564 2.2189
Si W La
2 1 1
Cartesian
0.0000 0.0000 0.0000
-1.5570 -1.7160 -1.6926
-1.9827 -1.8073 1.2239
1.0515 -2.6651 -0.6976
```

## Properties
Formation energy from raw total energies, meV per atom: 359
SG: Cmmm (65)
M_tot, μB per atom: 0.000